[1]
First-principles (PBE) data for Re3Au after structural relaxation, as listed in Alexandria.

```
Re3Au
1.0
4.483 0.000 0.000
0.000 5.606 0.000
0.000 0.000 4.880
Re Au
6 2
Direct
0.250 0.002 0.165
0.250 0.498 0.165
0.250 0.750 0.682
0.750 0.250 0.318
0.750 0.502 0.835
0.750 0.998 0.835
0.250 0.250 0.661
0.750 0.750 0.339
```

Computed properties:
- density (g cm⁻³) = 20.458
- energy relative to the elements (eV/atom) = 0.24


[2]
First-principles (PBE) data for CoGeOs3 after structural relaxation, as listed in Alexandria.

```
CoGeOs3
1.0
4.459 0.000 0.000
0.000 4.459 0.000
0.000 0.000 4.459
Co Ge Os
1 1 3
Direct
0.000 0.000 0.000
0.500 0.500 0.500
0.000 0.500 0.500
0.500 0.000 0.500
0.500 0.500 0.000
```

Computed properties:
- density (g cm⁻³) = 13.151
- energy relative to the elements (eV/atom) = 2.11
- energy above the lowest structure with this stoichiometry (meV/atom) = 260


[3]
First-principles (PBE) data for NaFe2Hg after structural relaxation, as listed in Alexandria.

```
NaFe2Hg
1.0
3.870 0.000 0.000
0.000 3.870 0.000
0.000 0.000 19.937
Na Fe Hg
4 8 4
Direct
0.000 0.000 0.000
0.000 0.500 0.250
0.500 0.000 0.750
0.500 0.500 0.500
0.191 0.250 0.625
0.250 0.691 0.875
0.250 0.809 0.375
0.309 0.250 0.125
0.691 0.750 0.125
0.750 0.191 0.375
0.750 0.309 0.875
0.809 0.750 0.625
0.000 0.000 0.500
0.000 0.500 0.750
0.500 0.000 0.250
0.500 0.500 0.000
```

Computed properties:
- density (g cm⁻³) = 7.457
- energy relative to the elements (eV/atom) = 0.73


[4]
First-principles (PBE) data for TmAg6Cl12 after structural relaxation, as listed in Alexandria.

```
TmAg6Cl12
1.0
5.421 3.130 5.980
-5.421 3.130 5.980
0.000 -6.260 5.980
Tm Ag Cl
1 6 12
Direct
0.000 0.000 0.000
0.110 0.295 0.598
0.295 0.598 0.110
0.402 0.890 0.705
0.598 0.110 0.295
0.705 0.402 0.890
0.890 0.705 0.402
0.004 0.690 0.055
0.055 0.004 0.690
0.178 0.553 0.407
0.310 0.945 0.996
0.407 0.178 0.553
0.447 0.593 0.822
0.553 0.407 0.178
0.593 0.822 0.447
0.690 0.055 0.004
0.822 0.447 0.593
0.945 0.996 0.310
0.996 0.310 0.945
```

Computed properties:
- density (g cm⁻³) = 3.387
- formation energy without anion corrections (eV/atom) = -0.78


[5]
First-principles (PBE) data for Ca2PuIn6 after structural relaxation, as listed in Alexandria.

```
Ca2PuIn6
1.0
8.836 0.000 0.000
-4.418 7.652 0.000
0.000 0.000 3.545
Ca Pu In
2 1 6
Direct
0.333 0.667 0.000
0.667 0.333 0.000
0.000 0.000 0.000
0.000 0.333 0.500
0.000 0.667 0.500
0.333 0.000 0.500
0.333 0.333 0.500
0.667 0.000 0.500
0.667 0.667 0.500
```

Computed properties:
- density (g cm⁻³) = 7.018
- energy relative to the elements (eV/atom) = -0.30


[6]
First-principles (PBE) data for TmAg2Pb after structural relaxation, as listed in Alexandria.

```
TmAg2Pb
1.0
3.781 0.000 0.000
0.000 3.781 0.000
0.000 0.000 6.550
Tm Ag Pb
1 2 1
Direct
0.000 0.000 0.000
0.500 0.500 0.229
0.500 0.500 0.771
0.000 0.000 0.500
```

Computed properties:
- density (g cm⁻³) = 10.495
- energy relative to the elements (eV/atom) = -0.21